Record 1
Computed, not measured: crystalline DyMgScGa at its relaxed geometry at the PBE level of DFT.

a = 5.0152 Å, b = 5.0152 Å, c = 5.0152 Å
α = 60.00°, β = 60.00°, γ = 60.00°
Fractional positions:
Mg 0.7500 0.7500 0.7500
Ga 0.2500 0.2500 0.2500
Sc 0.5000 0.5000 0.5000
Dy 0.0000 0.0000 0.0000

* DFT formation energy: -336 meV/atom
* symmetry: F-43m, No. 216

***

Record 2
Computed, not measured: crystalline SiBr2Cl at its relaxed geometry at the PBE level of DFT.

a = 3.5945 Å, b = 7.5710 Å, c = 7.5740 Å
α = 36.62°, β = 90.00°, γ = 90.00°
Fractional positions:
Br 0.0000 0.8772 0.8767
Cl 0.5000 0.2500 0.2500
Br 0.0000 0.6228 0.6233
Si 0.5000 0.7500 0.7500

* offset from the most stable computed form: 0 meV per atom
* raw formation energy: -0.477 eV per atom
* symmetry: Cmmm, No. 65

***

Record 3
Computed, not measured: crystalline LiZnCo2 at its relaxed geometry at the PBE level of DFT.

a = 4.0338 Å, b = 4.0338 Å, c = 4.0338 Å
α = 119.79°, β = 119.79°, γ = 90.36°
Fractional positions:
Zn 0.7500 0.2500 0.5000
Co 0.2500 0.7500 0.5000
Li 0.5000 0.5000 0.0000
Co 0.0000 0.0000 0.0000

* DFT formation energy: 24 meV/atom
* symmetry: I-4m2, No. 119

***

Record 4
Computed, not measured: crystalline TmCu2Ni4 at its relaxed geometry at the PBE level of DFT.

a = 5.5407 Å, b = 5.5407 Å, c = 5.5407 Å
α = 101.25°, β = 101.25°, γ = 127.56°
Fractional positions:
Tm 0.0000 0.0000 0.0000
Ni 0.5000 0.2784 0.7784
Cu 0.2500 0.7500 0.5000
Ni 0.7216 0.5000 0.2216
Cu 0.7500 0.2500 0.5000
Ni 0.5000 0.7216 0.2216
Ni 0.2784 0.5000 0.7784

* DFT formation energy: 415 meV/atom
* offset from the most stable computed form: 607 meV per atom
* symmetry: I4/mmm, No. 139

***

Record 5
Computed, not measured: crystalline BeZnCd2Au6 at its relaxed geometry at the PBE level of DFT.

a = 6.6023 Å, b = 6.6023 Å, c = 6.6023 Å
α = 60.00°, β = 60.00°, γ = 90.00°
Fractional positions:
Cd 0.2500 0.7500 0.5000
Au 0.7363 0.2637 0.0000
Zn 0.0000 0.0000 0.0000
Au 0.2637 0.2637 0.0000
Cd 0.7500 0.2500 0.5000
Be 0.5000 0.5000 0.0000
Au 0.2637 0.2637 0.4726
Au 0.7363 0.7363 0.5274
Au 0.7363 0.7363 0.0000
Au 0.2637 0.7363 0.0000

* DFT formation energy: 159 meV/atom
* symmetry: Fm-3m, No. 225

***

Record 6
Computed, not measured: crystalline LiTb2Mg at its relaxed geometry at the PBE level of DFT.

a = 3.3833 Å, b = 3.3833 Å, c = 11.2574 Å
α = 81.43°, β = 81.43°, γ = 60.04°
Fractional positions:
Tb 0.0829 0.0829 0.7515
Mg 0.5002 0.5002 0.4999
Tb 0.2502 0.2502 0.2489
Li 0.6668 0.6668 0.9997

* DFT formation energy: 115 meV/atom
* offset from the most stable computed form: 90 meV per atom
* symmetry: Cm, No. 8

***

Record 7
Computed, not measured: crystalline Cs2Rb2Tl at its relaxed geometry at the PBE level of DFT.

a = 5.7826 Å, b = 5.7826 Å, c = 12.2459 Å
α = 76.34°, β = 76.34°, γ = 90.00°
Fractional positions:
Rb 0.4174 0.4174 0.1653
Cs 0.2500 0.7500 0.5000
Tl 0.0000 0.0000 0.0000
Cs 0.7500 0.2500 0.5000
Rb 0.5826 0.5826 0.8347

* DFT formation energy: 267 meV/atom
* offset from the most stable computed form: 287 meV per atom
* symmetry: I4/mmm, No. 139

***

Record 8
Computed, not measured: crystalline Sc2CrSi at its relaxed geometry at the PBE level of DFT.

a = 3.1692 Å, b = 3.1692 Å, c = 7.1904 Å
α = 90.00°, β = 90.00°, γ = 90.00°
Fractional positions:
Sc 0.0000 0.0000 0.9416
Si 0.0000 0.0000 0.5542
Sc 0.5000 0.5000 0.3043
Cr 0.5000 0.5000 0.6998

* raw formation energy: -0.162 eV per atom
* symmetry: P4mm, No. 99

***

Record 9
Computed, not measured: crystalline Ac4TeRhS2 at its relaxed geometry at the PBE level of DFT.

a = 4.3692 Å, b = 7.9234 Å, c = 7.6742 Å
α = 108.66°, β = 90.00°, γ = 90.00°
Fractional positions:
Ac 0.5000 0.2728 0.2662
Ac 0.0000 0.7278 0.2446
Ac 0.5000 0.7272 0.7338
S 0.0000 0.5000 0.5000
S 0.5000 0.0000 0.5000
Te 0.0000 0.0000 0.0000
Rh 0.5000 0.5000 0.0000
Ac 0.0000 0.2722 0.7554

* raw formation energy: -1.471 eV per atom
* symmetry: P2/m, No. 10

***

Record 10
Computed, not measured: crystalline CaPtSe at its relaxed geometry at the PBE level of DFT.

a = 4.3917 Å, b = 6.1561 Å, c = 6.0793 Å
α = 95.18°, β = 114.23°, γ = 76.75°
Fractional positions:
Pt 0.0688 0.1151 0.6682
Se 0.0307 0.8232 0.3664
Ca 0.3416 0.7552 0.9971
Se 0.8541 0.4418 0.8677
Ca 0.3557 0.3000 0.3907
Pt 0.7800 0.1220 0.0556

* raw formation energy: -1.017 eV per atom
* symmetry: P1, No. 1

***

Record 11
Computed, not measured: crystalline KBaIn3 at its relaxed geometry at the PBE level of DFT.

a = 6.4765 Å, b = 6.4765 Å, c = 6.4765 Å
α = 90.00°, β = 90.00°, γ = 90.00°
Fractional positions:
In 0.0000 0.5000 0.0000
In 0.0000 0.0000 0.5000
K 0.5000 0.5000 0.5000
Ba 0.0000 0.0000 0.0000
In 0.5000 0.0000 0.0000

* DFT formation energy: 450 meV/atom
* offset from the most stable computed form: 83 meV per atom
* symmetry: Pm-3m, No. 221

***

Record 12
Computed, not measured: crystalline Mg3Si4 at its relaxed geometry at the PBE level of DFT.

a = 3.6523 Å, b = 8.7022 Å, c = 8.6794 Å
α = 76.20°, β = 90.00°, γ = 90.00°
Fractional positions:
Mg 0.5000 0.2565 0.2195
Si 0.5000 0.8672 0.7770
Si 0.0000 0.2892 0.7340
Si 0.0000 0.7035 0.3567
Mg 0.5000 0.4449 0.5221
Mg 0.0000 0.7906 0.0210
Mg 0.5000 0.9191 0.4578
Si 0.5000 0.5803 0.2187
Si 0.0000 0.0022 0.2102
Mg 0.5000 0.0823 0.9512
Mg 0.0000 0.6441 0.7095
Si 0.5000 0.4005 0.8699
Si 0.0000 0.4798 0.0435
Si 0.0000 0.0399 0.6621

* offset from the most stable computed form: 67 meV per atom
* raw formation energy: 0.120 eV per atom
* symmetry: Pm, No. 6

***

Record 13
Computed, not measured: crystalline KTaBr2 at its relaxed geometry at the PBE level of DFT.

a = 10.0313 Å, b = 10.0313 Å, c = 10.0313 Å
α = 20.17°, β = 20.17°, γ = 20.17°
Fractional positions:
K 0.5000 0.5000 0.5000
Ta 0.0000 0.0000 0.0000
Br 0.9136 0.9136 0.9136
Br 0.0864 0.0864 0.0864

* offset from the most stable computed form: 8 meV per atom
* raw formation energy: -0.124 eV per atom
* symmetry: R-3m, No. 166

***

Record 14
Computed, not measured: crystalline LaMgC2 at its relaxed geometry at the PBE level of DFT.

a = 4.4622 Å, b = 4.4622 Å, c = 7.5079 Å
α = 72.71°, β = 72.71°, γ = 90.00°
Fractional positions:
C 0.4894 0.1250 0.2500
Mg 0.5000 0.5000 0.0000
C 0.2606 0.6250 0.2500
La 0.7500 0.2500 0.5000
C 0.8750 0.7394 0.7500
C 0.3750 0.5106 0.7500
Mg 0.2500 0.7500 0.5000
La 0.0000 0.0000 0.0000

* DFT formation energy: 875 meV/atom
* symmetry: I-42d, No. 122

***

Record 15
Computed, not measured: crystalline Dy3Si2Ni9Sb at its relaxed geometry at the PBE level of DFT.

a = 6.2805 Å, b = 6.2805 Å, c = 7.5651 Å
α = 90.00°, β = 90.00°, γ = 120.00°
Fractional positions:
Ni 0.0000 0.5000 0.0000
Ni 0.5917 0.7958 0.3885
Ni 0.7958 0.2042 0.6115
Ni 0.5000 0.5000 0.0000
Ni 0.4083 0.2042 0.6115
Ni 0.2042 0.4083 0.3885
Ni 0.5000 0.0000 0.0000
Dy 0.3333 0.6667 0.7087
Ni 0.7958 0.5917 0.6115
Dy 0.6667 0.3333 0.2913
Ni 0.2042 0.7958 0.3885
Sb 0.0000 0.0000 0.5000
Dy 0.0000 0.0000 0.0000
Si 0.6667 0.3333 0.8385
Si 0.3333 0.6667 0.1615

* raw formation energy: -0.243 eV per atom
* symmetry: P-3m1, No. 164

***

Record 16
Computed, not measured: crystalline ScCd2InH at its relaxed geometry at the PBE level of DFT.

a = 4.5469 Å, b = 4.5469 Å, c = 4.3603 Å
α = 90.00°, β = 90.00°, γ = 90.00°
Fractional positions:
In 0.5000 0.5000 0.5000
Cd 0.0000 0.5000 0.0000
Cd 0.5000 0.0000 0.0000
H 0.0000 0.0000 0.0000
Sc 0.0000 0.0000 0.5000

* energy: -2.993 eV per atom
* symmetry: P4/mmm, No. 123

***

Record 17
Computed, not measured: crystalline Sr2TlCu at its relaxed geometry at the PBE level of DFT.

a = 3.7936 Å, b = 3.8379 Å, c = 9.2744 Å
α = 65.64°, β = 90.00°, γ = 90.00°
Fractional positions:
Sr 0.0000 0.4754 0.5246
Sr 0.0000 0.0246 0.9754
Cu 0.5000 0.7500 0.7500
Tl 0.5000 0.2500 0.2500

* DFT formation energy: -177 meV/atom
* symmetry: P2/m, No. 10

***

Record 18
Computed, not measured: crystalline HgH3Pt2 at its relaxed geometry at the PBE level of DFT.

a = 6.7775 Å, b = 8.0857 Å, c = 5.4787 Å
α = 136.35°, β = 126.71°, γ = 76.05°
Fractional positions:
Pt 0.7279 0.1923 0.3063
H 0.9359 0.6398 0.2505
Pt 0.2721 0.8077 0.6937
H 0.6658 0.1202 0.8689
H 0.3342 0.8798 0.1311
H 0.2250 0.8932 0.4602
H 0.0641 0.3602 0.7495
Hg 0.6608 0.6776 0.5735
Pt 0.8340 0.3685 0.0647
Pt 0.1660 0.6315 0.9353
Hg 0.3392 0.3224 0.4265
H 0.7750 0.1068 0.5398

* energy: -3.745 eV per atom
* symmetry: P-1, No. 2

***

Record 19
Computed, not measured: crystalline TaAl3 at its relaxed geometry at the PBE level of DFT.

a = 5.0391 Å, b = 5.0391 Å, c = 4.9077 Å
α = 83.32°, β = 83.32°, γ = 32.57°
Fractional positions:
Ta 0.0000 0.0000 0.0000
Al 0.7441 0.7441 0.7591
Al 0.5000 0.5000 0.5000
Al 0.2559 0.2559 0.2409

* DFT formation energy: -138 meV/atom
* symmetry: C2/m, No. 12

***

Record 20
Computed, not measured: crystalline Tb2MgHg at its relaxed geometry at the PBE level of DFT.

a = 3.7916 Å, b = 3.7916 Å, c = 7.3981 Å
α = 90.00°, β = 90.00°, γ = 90.00°
Fractional positions:
Tb 0.0000 0.0000 0.2466
Hg 0.5000 0.5000 0.0000
Mg 0.5000 0.5000 0.5000
Tb 0.0000 0.0000 0.7534

* DFT formation energy: -282 meV/atom
* offset from the most stable computed form: 8 meV per atom
* symmetry: P4/mmm, No. 123